(1)
Material: LaIrCl2
Method: DFT, PBE
State: optimized geometry

Results
Energy relative to the elements, uncorrected = -1.83 eV per formula unit
ρ = 7.78 g/cm3
ΔE to the lowest computed polymorph = 0.529 eV per atom
Total DFT energy (no corrections) = -4.828 eV per atom
Density of states at the Fermi level = 22.283 states/eV/cell

a = 7.002 Å, b = 7.002 Å, c = 7.002 Å
α = 90.00°, β = 90.00°, γ = 90.00°
Space group F-43m (No. 216)
One atom of each set of equivalent atoms:
La 0.000 0.000 0.000
Ir 0.250 0.250 0.750
Cl 0.000 0.000 0.500
Cl 0.250 0.250 0.250


(2)
Material: Na3Pm3TeS8
Method: DFT, PBE
State: optimized geometry

Results
Energy relative to the elements, uncorrected = -21.51 eV per formula unit
ρ = 3.83 g/cm3
Total DFT energy (no corrections) = -5.059 eV per atom
Density of states at the Fermi level = 0.000 states/eV/cell

a = 8.1357 Å, b = 8.1357 Å, c = 20.1637 Å
α = 90.00°, β = 90.00°, γ = 120.00°
Space group R-3m (No. 166, hexagonal axes)
One atom of each set of equivalent atoms:
Na 0.0000 0.5000 0.0000
Pm 0.0000 0.5000 0.5000
Te 0.0000 0.0000 0.5000
S 0.0000 0.0000 0.2435
S 0.0165 0.5082 0.2411


(3)
Material: CsMgHg2Pt
Method: DFT, PBE
State: optimized geometry

Results
ρ = 8.10 g/cm3
ΔH_f (0 K) = -0.30 eV/atom
Total DFT energy (no corrections) = -2.121 eV per atom
Density of states at the Fermi level = 1.517 states/eV/cell

a = 5.476 Å, b = 5.476 Å, c = 5.152 Å
α = 90.00°, β = 90.00°, γ = 90.00°
Space group P4/mmm (No. 123)
One atom of each set of equivalent atoms:
Cs 0.000 0.000 0.000
Mg 0.500 0.500 0.000
Hg 0.000 0.500 0.500
Pt 0.500 0.500 0.500


(4)
Material: Na2SnP2Pd5
Method: DFT, PBE
State: optimized geometry

Results
ρ = 7.23 g/cm3
ΔH_f (0 K) = -0.48 eV/atom
Total DFT energy (no corrections) = -4.821 eV per atom
Density of states at the Fermi level = 5.492 states/eV/cell

a = 10.475 Å, b = 10.475 Å, c = 3.175 Å
α = 90.00°, β = 90.00°, γ = 90.00°
Space group P4/mbm (No. 127)
One atom of each set of equivalent atoms:
Na 0.175 0.325 0.000
Sn 0.000 0.000 0.000
P 0.126 0.626 0.000
Pd 0.000 0.500 0.500
Pd 0.067 0.788 0.500


(5)
Material: Dy2Er4Th
Method: DFT, PBE
State: optimized geometry

Results
ρ = 8.96 g/cm3
ΔH_f (0 K) = 0.31 eV/atom
Total DFT energy (no corrections) = -4.668 eV per atom
Density of states at the Fermi level = 21.946 states/eV/cell

a = 10.714 Å, b = 12.231 Å, c = 3.469 Å
α = 90.00°, β = 90.00°, γ = 90.00°
Space group Cmmm (No. 65)
One atom of each set of equivalent atoms:
Dy 0.250 0.250 0.000
Er 0.000 0.191 0.500
Er 0.174 0.000 0.000
Th 0.000 0.500 0.500


(6)
Material: AcMgZn2Cd
Method: DFT, PBE
State: optimized geometry

Results
ρ = 6.81 g/cm3
ΔH_f (0 K) = -0.27 eV/atom
Total DFT energy (no corrections) = -2.103 eV per atom
Density of states at the Fermi level = 8.216 states/eV/cell

a = 4.442 Å, b = 4.442 Å, c = 12.228 Å
α = 90.00°, β = 90.00°, γ = 90.00°
Space group I-4m2 (No. 119)
One atom of each set of equivalent atoms:
Ac 0.000 0.000 0.000
Mg 0.000 0.500 0.250
Zn 0.000 0.000 0.394
Cd 0.000 0.500 0.750


(7)
Material: SnN2O2
Method: DFT, PBE
State: optimized geometry

Results
Energy relative to the elements, uncorrected = 6.13 eV per formula unit
ρ = 6.27 g/cm3
ΔE to the lowest computed polymorph = 2.093 eV per atom
Total DFT energy (no corrections) = -4.888 eV per atom
Density of states at the Fermi level = 2.288 states/eV/cell

a = 3.673 Å, b = 3.673 Å, c = 3.512 Å
α = 90.00°, β = 90.00°, γ = 90.00°
Space group P4/mmm (No. 123)
One atom of each set of equivalent atoms:
Sn 0.000 0.000 0.000
N 0.500 0.500 0.000
N 0.500 0.500 0.500
O 0.000 0.500 0.500


(8)
Material: Sn4SbSe6
Method: DFT, PBE
State: optimized geometry

Results
Energy relative to the elements, uncorrected = -1.76 eV per formula unit
ρ = 5.91 g/cm3
Total DFT energy (no corrections) = -3.891 eV per atom
Density of states at the Fermi level = 6.715 states/eV/cell

a = 9.2595 Å, b = 9.2595 Å, c = 4.0523 Å
α = 90.00°, β = 90.00°, γ = 120.00°
Space group P-6m2 (No. 187)
One atom of each set of equivalent atoms:
Sn 0.0000 0.0000 0.0000
Sn 0.0817 0.5408 0.5000
Sb 0.6667 0.3333 0.0000
Se 0.1861 0.3722 0.0000
Se 0.4001 0.2000 0.5000


(9)
Material: MnVGaTc
Method: DFT, PBE
State: optimized geometry

Results
ρ = 8.43 g/cm3
ΔH_f (0 K) = -0.23 eV/atom
Total DFT energy (no corrections) = -8.146 eV per atom
Density of states at the Fermi level = 11.948 states/eV/cell

a = 5.996 Å, b = 5.996 Å, c = 5.996 Å
α = 90.00°, β = 90.00°, γ = 90.00°
Space group F-43m (No. 216)
One atom of each set of equivalent atoms:
Mn 0.000 0.000 0.000
V 0.250 0.250 0.750
Ga 0.250 0.250 0.250
Tc 0.000 0.000 0.500


(10)
Material: CuHg2W
Method: DFT, PBE
State: optimized geometry

Results
ρ = 15.04 g/cm3
ΔE to the lowest computed polymorph = 0.278 eV per atom
ΔH_f (0 K) = 0.79 eV/atom
Total DFT energy (no corrections) = -3.625 eV per atom
Density of states at the Fermi level = 6.449 states/eV/cell

a = 2.870 Å, b = 5.140 Å, c = 9.706 Å
α = 90.00°, β = 90.00°, γ = 90.00°
Space group Immm (No. 71)
One atom of each set of equivalent atoms:
Cu 0.000 0.000 0.000
Hg 0.000 0.500 0.266
W 0.000 0.000 0.500


(11)
Material: YNi2Br
Method: DFT, PBE
State: optimized geometry

Results
Energy relative to the elements, uncorrected = 0.18 eV per formula unit
ρ = 6.60 g/cm3
ΔE to the lowest computed polymorph = 0.518 eV per atom
Total DFT energy (no corrections) = -4.879 eV per atom
Density of states at the Fermi level = 10.941 states/eV/cell

a = 6.602 Å, b = 6.602 Å, c = 6.602 Å
α = 90.00°, β = 90.00°, γ = 90.00°
Space group F-43m (No. 216)
One atom of each set of equivalent atoms:
Y 0.000 0.000 0.000
Ni 0.000 0.000 0.500
Ni 0.250 0.250 0.250
Br 0.250 0.250 0.750


(12)
Material: LaHgBr2
Method: DFT, PBE
State: optimized geometry

Results
Energy relative to the elements, uncorrected = -4.28 eV per formula unit
ρ = 7.31 g/cm3
ΔE to the lowest computed polymorph = 0.250 eV per atom
Total DFT energy (no corrections) = -3.213 eV per atom
Density of states at the Fermi level = 17.429 states/eV/cell

a = 7.683 Å, b = 7.683 Å, c = 7.683 Å
α = 90.00°, β = 90.00°, γ = 90.00°
Space group Fm-3m (No. 225)
One atom of each set of equivalent atoms:
La 0.000 0.000 0.000
Hg 0.000 0.000 0.500
Br 0.250 0.250 0.250


(13)
Material: TmMgSnPd
Method: DFT, PBE
State: optimized geometry

Results
ρ = 8.21 g/cm3
ΔH_f (0 K) = -0.61 eV/atom
Total DFT energy (no corrections) = -4.424 eV per atom
Density of states at the Fermi level = 10.407 states/eV/cell

a = 6.968 Å, b = 6.968 Å, c = 6.968 Å
α = 90.00°, β = 90.00°, γ = 90.00°
Space group F-43m (No. 216)
One atom of each set of equivalent atoms:
Tm 0.000 0.000 0.000
Mg 0.000 0.000 0.500
Sn 0.250 0.250 0.750
Pd 0.250 0.250 0.250


(14)
Material: Ac4LaSb2
Method: DFT, PBE
State: optimized geometry

Results
Energy relative to the elements, uncorrected = 0.75 eV per formula unit
ρ = 7.12 g/cm3
Total DFT energy (no corrections) = -4.123 eV per atom
Density of states at the Fermi level = 15.699 states/eV/cell

a = 5.967 Å, b = 5.967 Å, c = 16.910 Å
α = 90.00°, β = 90.00°, γ = 90.00°
Space group I4/mmm (No. 139)
One atom of each set of equivalent atoms:
Ac 0.000 0.000 0.182
Ac 0.000 0.500 0.000
La 0.000 0.000 0.000
Sb 0.000 0.000 0.371


(15)
Material: BaTl2Fe
Method: DFT, PBE
State: optimized geometry

Results
ρ = 8.51 g/cm3
ΔH_f (0 K) = 0.41 eV/atom
Total DFT energy (no corrections) = -3.374 eV per atom
Density of states at the Fermi level = 13.615 states/eV/cell

a = 5.303 Å, b = 5.303 Å, c = 8.357 Å
α = 90.00°, β = 90.00°, γ = 90.00°
Space group I-4m2 (No. 119)
One atom of each set of equivalent atoms:
Ba 0.000 0.000 0.000
Tl 0.000 0.000 0.500
Tl 0.000 0.500 0.250
Fe 0.000 0.500 0.750


(16)
Material: NaTlAgPt
Method: DFT, PBE
State: optimized geometry

Results
ρ = 11.25 g/cm3
ΔH_f (0 K) = -0.09 eV/atom
Total DFT energy (no corrections) = -3.231 eV per atom
Density of states at the Fermi level = 5.818 states/eV/cell

a = 6.790 Å, b = 6.790 Å, c = 6.790 Å
α = 90.00°, β = 90.00°, γ = 90.00°
Space group F-43m (No. 216)
One atom of each set of equivalent atoms:
Na 0.000 0.000 0.000
Tl 0.250 0.250 0.750
Ag 0.250 0.250 0.250
Pt 0.000 0.000 0.500


(17)
Material: Al2AsCl
Method: DFT, PBE
State: optimized geometry

Results
Energy relative to the elements, uncorrected = 0.81 eV per formula unit
ρ = 3.52 g/cm3
ΔE to the lowest computed polymorph = 0.526 eV per atom
Total DFT energy (no corrections) = -3.293 eV per atom
Density of states at the Fermi level = 5.995 states/eV/cell

a = 6.767 Å, b = 6.767 Å, c = 6.767 Å
α = 90.00°, β = 90.00°, γ = 90.00°
Space group F-43m (No. 216)
One atom of each set of equivalent atoms:
Al 0.000 0.000 0.000
Al 0.250 0.250 0.250
As 0.000 0.000 0.500
Cl 0.250 0.250 0.750


(18)
Material: InOs2Pb
Method: DFT, PBE
State: optimized geometry

Results
ρ = 16.26 g/cm3
ΔE to the lowest computed polymorph = 0.363 eV per atom
ΔH_f (0 K) = 0.86 eV/atom
Total DFT energy (no corrections) = -6.367 eV per atom
Density of states at the Fermi level = 4.699 states/eV/cell

a = 3.301 Å, b = 3.301 Å, c = 6.584 Å
α = 90.00°, β = 90.00°, γ = 90.00°
Space group P4/mmm (No. 123)
One atom of each set of equivalent atoms:
In 0.000 0.000 0.000
Os 0.500 0.500 0.244
Pb 0.000 0.000 0.500


(19)
Material: LaHo6Th
Method: DFT, PBE
State: optimized geometry

Results
ρ = 8.80 g/cm3
ΔE to the lowest computed polymorph = 0.185 eV per atom
ΔH_f (0 K) = 0.22 eV/atom
Total DFT energy (no corrections) = -4.760 eV per atom
Density of states at the Fermi level = 14.204 states/eV/cell

a = 6.544 Å, b = 6.570 Å, c = 7.511 Å
α = 115.69°, β = 115.01°, γ = 90.12°
Space group P-1 (No. 2)
One atom of each set of equivalent atoms:
La 0.000 0.000 0.000
Ho 0.081 0.269 0.537
Ho 0.447 0.763 0.527
Ho 0.500 0.253 0.999
Th 0.000 0.500 0.000


(20)
Material: CaPrH4
Method: DFT, PBE
State: optimized geometry

Results
ρ = 3.76 g/cm3
Total DFT energy (no corrections) = -3.949 eV per atom
Density of states at the Fermi level = 1.670 states/eV/cell

a = 3.846 Å, b = 3.846 Å, c = 5.523 Å
α = 90.00°, β = 90.00°, γ = 90.00°
Space group P4/mmm (No. 123)
One atom of each set of equivalent atoms:
Ca 0.000 0.000 0.000
Pr 0.500 0.500 0.500
H 0.000 0.500 0.245


(21)
Material: Li2AuI4
Method: DFT, PBE
State: optimized geometry

Results
Energy relative to the elements, uncorrected = -3.25 eV per formula unit
ρ = 4.83 g/cm3
ΔE to the lowest computed polymorph = 0.151 eV per atom
Total DFT energy (no corrections) = -2.365 eV per atom
Density of states at the Fermi level = 9.671 states/eV/cell

a = 5.819 Å, b = 5.819 Å, c = 14.580 Å
α = 90.00°, β = 90.00°, γ = 90.00°
Space group I4/mmm (No. 139)
One atom of each set of equivalent atoms:
Li 0.000 0.000 0.120
Au 0.000 0.000 0.500
I 0.000 0.000 0.305
I 0.000 0.500 0.000


(22)
Material: CsLiBiCl6
Method: DFT, PBE
State: optimized geometry

Results
Energy relative to the elements, uncorrected = -11.34 eV per formula unit
ρ = 2.93 g/cm3
Total DFT energy (no corrections) = -3.230 eV per atom
Density of states at the Fermi level = 5.857 states/eV/cell

a = 6.8520 Å, b = 6.8520 Å, c = 7.8178 Å
α = 90.00°, β = 90.00°, γ = 120.00°
Space group P312 (No. 149)
One atom of each set of equivalent atoms:
Cs 0.0000 0.0000 0.0000
Li 0.3333 0.6667 0.5000
Bi 0.6667 0.3333 0.5000
Cl 0.0042 0.3826 0.6947


(23)
Material: Tb4Tl2Os
Method: DFT, PBE
State: optimized geometry

Results
ρ = 9.79 g/cm3
ΔH_f (0 K) = -0.16 eV/atom
Total DFT energy (no corrections) = -5.088 eV per atom
Density of states at the Fermi level = 4.255 states/eV/cell

a = 6.626 Å, b = 3.718 Å, c = 9.113 Å
α = 90.00°, β = 111.14°, γ = 90.00°
Space group P2/m (No. 10)
One atom of each set of equivalent atoms:
Tb 0.126 0.000 0.255
Tb 0.339 0.500 0.655
Tl 0.263 0.500 0.998
Os 0.500 0.000 0.500


(24)
Material: NbGe2W
Method: DFT, PBE
State: optimized geometry

Results
ρ = 9.84 g/cm3
ΔE to the lowest computed polymorph = 0.234 eV per atom
ΔH_f (0 K) = 0.35 eV/atom
Total DFT energy (no corrections) = -7.713 eV per atom
Density of states at the Fermi level = 7.558 states/eV/cell

a = 2.9196 Å, b = 2.9196 Å, c = 28.9342 Å
α = 90.00°, β = 90.00°, γ = 120.00°
Space group R-3m (No. 166, hexagonal axes)
One atom of each set of equivalent atoms:
Nb 0.0000 0.0000 0.0000
Ge 0.0000 0.0000 0.0929
W 0.0000 0.0000 0.5000


(25)
Material: SiSbIr4
Method: DFT, PBE
State: optimized geometry

Results
Energy relative to the elements, uncorrected = 3.20 eV per formula unit
ρ = 14.70 g/cm3
Total DFT energy (no corrections) = -6.965 eV per atom
Density of states at the Fermi level = 39.821 states/eV/cell

a = 7.460 Å, b = 7.460 Å, c = 7.460 Å
α = 90.00°, β = 90.00°, γ = 90.00°
Space group F-43m (No. 216)
One atom of each set of equivalent atoms:
Si 0.000 0.000 0.000
Sb 0.250 0.250 0.250
Ir 0.125 0.125 0.625


(26)
Material: Mg4Ga2Sn
Method: DFT, PBE
State: optimized geometry

Results
ρ = 3.82 g/cm3
ΔH_f (0 K) = -0.06 eV/atom
Total DFT energy (no corrections) = -2.412 eV per atom
Density of states at the Fermi level = 4.496 states/eV/cell

a = 7.351 Å, b = 6.014 Å, c = 7.551 Å
α = 90.00°, β = 112.41°, γ = 90.00°
Space group P2_1/m (No. 11)
One atom of each set of equivalent atoms:
Mg 0.092 0.250 0.480
Mg 0.150 0.750 0.274
Mg 0.262 0.503 0.904
Ga 0.081 0.250 0.116
Ga 0.488 0.250 0.747
Sn 0.497 0.750 0.660